(1)
DFT (GGA-PBE) results for a relaxed ZrIrRu2 crystal.

Results
Energy of formation in meV/atom: -4
Magnetization in μB per formula unit: 0.00
Polymorph energy (0 for the lowest one) in eV/atom: 0.344
Fermi-level density of states in states/eV per cell: 6.2

Geometry as extended XYZ:
```
4
Lattice="-0.346 -4.194 -1.932 2.531 0.369 -1.255 2.767 -1.897 3.622" Properties=species:S:1:pos:R:3 pbc="T T T"
Zr 1.151 -2.479 -0.374
Ru 2.879 -0.771 1.158
Ru 5.068 -1.521 2.393
Ir 3.800 -3.243 0.809
```

(2)
DFT (GGA-PBE) results for a relaxed Tb2CdTe crystal.

Results
Formation energy without anion corrections in meV/atom: -691
Magnetization in μB per formula unit: 0.00
Polymorph energy (0 for the lowest one) in eV/atom: 0.051
Fermi-level density of states in states/eV per cell: 3.7

Geometry as extended XYZ:
```
4
Lattice="-0.582 -3.490 1.647 2.312 1.018 2.975 -5.561 2.555 3.448" Properties=species:S:1:pos:R:3 pbc="T T T"
Cd 0.865 -1.236 2.311
Tb -1.395 0.641 0.865
Te -1.915 0.042 4.035
Tb -4.166 1.914 2.583
```

(3)
DFT (GGA-PBE) results for a relaxed SnPdBr3 crystal.

Results
Formation energy without anion corrections in meV/atom: 60
Magnetization in μB per formula unit: 0.58
Fermi-level density of states in states/eV per cell: 11.6

Geometry as extended XYZ:
```
5
Lattice="5.619 0.000 0.000 0.000 5.619 0.000 0.000 0.000 5.619" Properties=species:S:1:pos:R:3 pbc="T T T"
Pd 2.810 2.810 2.810
Br 2.810 0.000 0.000
Br 0.000 0.000 2.810
Br 0.000 2.810 0.000
Sn 0.000 0.000 0.000
```

(4)
DFT (GGA-PBE) results for a relaxed LaURu3 crystal.

Results
Energy of formation in meV/atom: -247
Magnetization in μB per formula unit: 0.00
Polymorph energy (0 for the lowest one) in eV/atom: 0.000
Fermi-level density of states in states/eV per cell: 7.8

Geometry as extended XYZ:
```
10
Lattice="-3.148 3.858 3.733 -0.879 -2.012 5.563 4.462 3.625 2.694" Properties=species:S:1:pos:R:3 pbc="T T T"
U 0.287 5.665 7.302
U -3.116 2.292 8.683
Ru 0.676 -0.209 6.924
La -0.763 2.457 5.918
Ru -0.607 2.685 2.812
Ru 2.066 4.355 6.706
Ru 1.240 1.024 4.185
La 0.608 2.808 9.353
Ru 2.478 1.730 6.516
Ru -0.390 -0.005 2.216
```

(5)
DFT (GGA-PBE) results for a relaxed SrRhBr2 crystal.

Results
Formation energy without anion corrections in meV/atom: -672
Magnetization in μB per formula unit: 1.00
Polymorph energy (0 for the lowest one) in eV/atom: 0.197
Fermi-level density of states in states/eV per cell: 0.1

Geometry as extended XYZ:
```
8
Lattice="5.309 0.000 0.000 0.000 5.309 0.000 2.654 2.654 8.329" Properties=species:S:1:pos:R:3 pbc="T T T"
Br 4.294 1.327 2.082
Rh 5.309 2.654 4.165
Br 1.015 3.982 2.082
Rh 0.000 0.000 0.000
Sr 2.654 5.309 4.165
Sr 2.654 2.654 0.000
Br 6.636 6.948 6.247
Br 3.982 3.669 6.247
```

(6)
DFT (GGA-PBE) results for a relaxed RbNa2TbI6 crystal.

Results
Formation energy without anion corrections in meV/atom: -1352
Magnetization in μB per formula unit: 0.00
Fermi-level density of states in states/eV per cell: 0.0

Geometry as extended XYZ:
```
10
Lattice="8.252 0.002 0.000 4.128 7.147 -0.001 4.127 2.382 7.561" Properties=species:S:1:pos:R:3 pbc="T T T"
Na 8.254 4.765 3.388
I 5.904 4.366 5.752
I 9.774 2.929 5.753
I 11.099 4.650 1.760
I 9.083 7.000 5.752
Rb 12.379 7.148 4.336
I 6.932 7.289 1.761
Na 4.127 2.383 7.526
Tb 4.127 2.383 0.129
I 6.728 2.359 1.760
```

(7)
DFT (GGA-PBE) results for a relaxed MgW5 crystal.

Results
Energy of formation in meV/atom: 462
Magnetization in μB per formula unit: 0.00
Polymorph energy (0 for the lowest one) in eV/atom: 0.104
Fermi-level density of states in states/eV per cell: 4.6

Geometry as extended XYZ:
```
6
Lattice="1.326 -7.962 0.000 1.326 7.962 0.000 0.000 0.000 4.715" Properties=species:S:1:pos:R:3 pbc="T T T"
W 1.326 4.285 2.357
W 1.326 -2.528 0.000
W 1.326 -7.855 0.000
Mg 1.326 -6.287 2.357
W 1.326 2.776 0.000
W 1.326 -1.008 2.357
```

(8)
DFT (GGA-PBE) results for a relaxed Zr6Ni7 crystal.

Results
Energy of formation in meV/atom: -358
Magnetization in μB per formula unit: 0.00
Fermi-level density of states in states/eV per cell: 12.0

Geometry as extended XYZ:
```
13
Lattice="9.714 0.002 0.002 8.403 4.875 0.002 8.403 2.262 4.318" Properties=species:S:1:pos:R:3 pbc="T T T"
Ni 10.839 4.198 2.541
Ni 15.681 2.942 1.781
Ni 15.039 4.049 3.895
Zr 1.406 0.379 0.229
Ni 11.481 3.091 0.426
Zr 8.810 2.372 1.436
Ni 13.260 3.570 2.161
Ni 11.481 1.811 2.541
Ni 15.039 5.328 1.781
Zr 17.710 4.768 2.886
Zr 25.113 6.761 4.092
Zr 4.275 1.151 0.697
Zr 22.245 5.989 3.625
```

(9)
DFT (GGA-PBE) results for a relaxed Ba2Bi3 crystal.

Results
Energy of formation in meV/atom: -723
Magnetization in μB per formula unit: 0.00
Polymorph energy (0 for the lowest one) in eV/atom: 0.043
Fermi-level density of states in states/eV per cell: 2.3

Geometry as extended XYZ:
```
10
Lattice="6.759 0.084 0.000 -2.928 6.093 0.000 0.000 0.000 9.740" Properties=species:S:1:pos:R:3 pbc="T T T"
Ba 3.410 2.161 0.987
Ba -1.434 5.166 3.883
Bi -0.041 2.164 2.435
Ba 5.265 1.011 5.857
Bi 1.916 3.088 4.870
Bi 0.000 0.000 0.000
Ba 0.421 4.015 8.752
Bi 1.956 0.925 7.305
Bi 1.875 5.252 2.435
Bi 3.872 4.013 7.305
```

(10)
DFT (GGA-PBE) results for a relaxed BaAlCl2 crystal.

Results
Formation energy without anion corrections in meV/atom: -1171
Magnetization in μB per formula unit: 0.03
Polymorph energy (0 for the lowest one) in eV/atom: 0.049
Fermi-level density of states in states/eV per cell: 1.5

Geometry as extended XYZ:
```
4
Lattice="4.097 0.000 0.000 0.000 3.818 -0.067 0.000 0.142 7.926" Properties=species:S:1:pos:R:3 pbc="T T T"
Ba 2.049 2.970 5.895
Al 2.049 0.990 1.965
Cl 0.000 1.089 7.571
Cl 0.000 1.033 4.284
```

(11)
DFT (GGA-PBE) results for a relaxed TaBe2Re crystal.

Results
Energy of formation in meV/atom: -3
Magnetization in μB per formula unit: 0.00
Polymorph energy (0 for the lowest one) in eV/atom: 0.379
Fermi-level density of states in states/eV per cell: 2.0

Geometry as extended XYZ:
```
4
Lattice="3.045 0.000 0.000 0.000 3.043 0.000 0.000 0.000 5.373" Properties=species:S:1:pos:R:3 pbc="T T T"
Be 0.000 0.000 2.459
Ta 1.522 1.521 4.030
Re 1.522 1.521 1.343
Be 0.000 0.000 0.228
```

(12)
DFT (GGA-PBE) results for a relaxed PrAlCuAu crystal.

Results
Energy of formation in meV/atom: -423
Magnetization in μB per formula unit: 0.00
Fermi-level density of states in states/eV per cell: 2.3

Geometry as extended XYZ:
```
4
Lattice="-4.128 -1.421 -2.130 0.131 -2.177 -4.341 -1.035 -4.731 -0.377" Properties=species:S:1:pos:R:3 pbc="T T T"
Al -2.516 -4.164 -3.424
Cu -1.258 -2.082 -1.712
Pr 0.000 0.000 0.000
Au -3.774 -6.246 -5.136
```

(13)
DFT (GGA-PBE) results for a relaxed TaBeNi2 crystal.

Results
Energy of formation in meV/atom: -114
Magnetization in μB per formula unit: 0.00
Fermi-level density of states in states/eV per cell: 4.4

Geometry as extended XYZ:
```
4
Lattice="4.079 0.000 0.000 2.039 3.532 0.000 2.039 1.177 3.330" Properties=species:S:1:pos:R:3 pbc="T T T"
Ta 6.118 3.532 2.498
Ni 0.000 0.000 0.000
Be 4.079 2.355 1.665
Ni 2.039 1.177 0.833
```

(14)
DFT (GGA-PBE) results for a relaxed BaLi2Pu2O7 crystal.

Results
Formation energy without anion corrections in meV/atom: -2651
Magnetization in μB per formula unit: 6.00
Fermi-level density of states in states/eV per cell: 6.7

Geometry as extended XYZ:
```
12
Lattice="-2.056 0.127 3.776 -0.162 -4.299 0.057 9.221 1.840 2.508" Properties=species:S:1:pos:R:3 pbc="T T T"
Li 3.028 -0.061 4.098
O 1.689 -2.203 0.993
Ba 7.004 -2.331 6.341
O 2.565 -2.197 3.920
O 0.743 0.010 2.853
O 8.113 -0.246 4.424
O 5.315 -0.129 5.347
Li 3.977 -2.271 2.242
O 6.261 -2.341 3.487
O 4.439 -0.134 2.421
Pu 6.199 -0.188 3.380
Pu 0.805 -2.144 2.960
```

(15)
DFT (GGA-PBE) results for a relaxed NaAg2HgI4 crystal.

Results
Formation energy without anion corrections in meV/atom: -407
Magnetization in μB per formula unit: 0.00
Fermi-level density of states in states/eV per cell: 5.2

Geometry as extended XYZ:
```
8
Lattice="6.742 0.282 0.000 -0.278 6.742 0.000 -3.232 -3.512 7.275" Properties=species:S:1:pos:R:3 pbc="T T T"
I 1.428 5.171 2.041
Ag -0.139 3.371 3.637
I -1.650 -1.793 5.235
Hg 3.232 3.512 0.013
Ag 3.371 0.141 3.637
I 1.650 1.793 5.235
Na 3.232 3.512 7.264
I 5.035 1.852 2.041
```

(16)
DFT (GGA-PBE) results for a relaxed Na3NiTe crystal.

Results
Formation energy without anion corrections in meV/atom: 180
Magnetization in μB per formula unit: 1.00
Polymorph energy (0 for the lowest one) in eV/atom: 0.015
Fermi-level density of states in states/eV per cell: 9.4

Geometry as extended XYZ:
```
5
Lattice="-5.091 -0.150 1.462 0.459 -5.169 1.070 1.396 1.154 4.979" Properties=species:S:1:pos:R:3 pbc="T T T"
Ni 0.000 0.000 0.000
Na 0.230 -2.585 0.535
Te -1.618 -2.082 3.756
Na 0.698 0.577 2.490
Na -2.545 -0.075 0.731
```

(17)
DFT (GGA-PBE) results for a relaxed KCo2AgBr6 crystal.

Results
Formation energy without anion corrections in meV/atom: -582
Magnetization in μB per formula unit: 6.00

Geometry as extended XYZ:
```
20
Lattice="-9.356 -0.154 -0.376 -1.228 -5.327 7.604 1.458 6.724 2.873" Properties=species:S:1:pos:R:3 pbc="T T T"
Br -1.757 -0.470 0.724
Co -1.832 4.436 3.015
Br -3.531 4.105 4.643
Br -3.951 -0.306 8.505
Ag -5.757 -0.532 3.518
Br -8.729 -1.248 7.321
Br -2.922 -0.109 4.520
Br -6.204 1.352 5.581
Br -0.397 2.491 2.780
Br -5.595 -2.862 5.458
Ag -3.370 1.775 6.583
Br -8.559 -1.199 3.261
Br -7.369 1.713 9.377
Co -1.130 0.164 2.984
K -2.411 -2.661 6.804
Co -7.294 -3.193 7.086
Br -0.567 2.442 6.840
Br -5.175 1.549 1.596
Co -7.996 1.079 7.117
K -6.716 3.904 3.297
```

(18)
DFT (GGA-PBE) results for a relaxed Sm2Er3Cd2 crystal.

Results
Energy of formation in meV/atom: -101
Magnetization in μB per formula unit: 0.76
Polymorph energy (0 for the lowest one) in eV/atom: 0.043
Fermi-level density of states in states/eV per cell: 8.2

Geometry as extended XYZ:
```
7
Lattice="3.537 0.000 -0.427 0.000 3.525 0.000 0.183 0.000 16.389" Properties=species:S:1:pos:R:3 pbc="T T T"
Er 1.661 1.763 13.767
Er 2.059 1.763 2.195
Cd 3.188 0.000 11.550
Sm 2.559 1.763 6.339
Sm 1.161 1.763 9.624
Er 0.000 0.000 0.000
Cd 0.532 0.000 4.412
```

(19)
DFT (GGA-PBE) results for a relaxed CsMg2Pb crystal.

Results
Energy of formation in meV/atom: -11
Magnetization in μB per formula unit: 0.00
Fermi-level density of states in states/eV per cell: 1.4

Geometry as extended XYZ:
```
4
Lattice="5.228 0.000 0.000 2.614 4.528 0.000 2.614 1.509 7.094" Properties=species:S:1:pos:R:3 pbc="T T T"
Mg 2.614 1.509 0.509
Pb 0.000 0.000 0.000
Cs 5.228 3.018 3.547
Mg 7.842 4.528 6.584
```

(20)
DFT (GGA-PBE) results for a relaxed MnBeCo2Si crystal.

Results
Formation energy without anion corrections in meV/atom: 357
Magnetization in μB per formula unit: 3.18
Fermi-level density of states in states/eV per cell: 5.0

Geometry as extended XYZ:
```
5
Lattice="-2.446 -1.968 -2.173 2.924 -1.031 -2.358 0.616 -3.112 2.124" Properties=species:S:1:pos:R:3 pbc="T T T"
Co -1.223 -0.984 -1.086
Mn 1.462 -0.515 -1.179
Co 0.308 -1.556 1.062
Be 0.000 0.000 0.000
Si 0.547 -3.055 -1.203
```

(21)
DFT (GGA-PBE) results for a relaxed Mn2AgOs crystal.

Results
Energy of formation in meV/atom: 248
Magnetization in μB per formula unit: 6.09
Fermi-level density of states in states/eV per cell: 3.2

Geometry as extended XYZ:
```
4
Lattice="-0.961 -2.198 -1.477 1.706 -1.716 1.444 -5.378 -1.067 5.086" Properties=species:S:1:pos:R:3 pbc="T T T"
Mn -2.556 -0.507 2.417
Mn -0.133 -0.026 0.126
Os -0.972 -2.224 1.255
Ag -3.661 -2.757 3.798
```

(22)
DFT (GGA-PBE) results for a relaxed Ac4LaRh crystal.

Results
Energy of formation in meV/atom: -185
Magnetization in μB per formula unit: 0.01
Fermi-level density of states in states/eV per cell: 18.3

Geometry as extended XYZ:
```
12
Lattice="6.672 0.000 -0.565 0.000 7.904 0.000 -2.568 -3.952 9.122" Properties=species:S:1:pos:R:3 pbc="T T T"
La 0.215 0.000 3.507
Ac 0.345 3.952 3.157
Rh 2.136 0.000 8.458
Ac 3.557 1.985 1.726
Ac 0.000 6.075 0.000
Ac 3.557 5.919 1.726
La 3.889 3.952 5.050
Ac 3.759 0.000 5.400
Ac 0.547 1.967 6.831
Rh 1.968 3.952 0.099
Ac 0.000 1.829 0.000
Ac 0.547 -1.967 6.831
```

(23)
DFT (GGA-PBE) results for a relaxed Os2RhAu crystal.

Results
Energy of formation in meV/atom: 492
Magnetization in μB per formula unit: 0.00
Polymorph energy (0 for the lowest one) in eV/atom: 0.277
Fermi-level density of states in states/eV per cell: 4.9

Geometry as extended XYZ:
```
4
Lattice="-0.655 -0.010 2.662 -2.929 -2.581 -0.730 3.521 -4.237 0.851" Properties=species:S:1:pos:R:3 pbc="T T T"
Rh -1.792 -1.296 0.966
Os 2.715 -3.267 0.656
Au -0.032 -3.414 1.391
Os 0.806 -0.970 0.195
```

(24)
DFT (GGA-PBE) results for a relaxed CaTc2O8 crystal.

Results
Formation energy without anion corrections in meV/atom: -1696
Magnetization in μB per formula unit: 0.00
Fermi-level density of states in states/eV per cell: 0.0

Geometry as extended XYZ:
```
11
Lattice="5.764 0.204 0.851 0.859 6.218 2.200 0.399 1.108 6.547" Properties=species:S:1:pos:R:3 pbc="T T T"
O 1.796 3.116 6.955
Tc 2.094 1.429 1.902
O 3.818 1.115 1.715
Tc 4.928 6.101 7.695
O 3.204 6.416 7.883
O 1.850 2.542 3.185
O 2.070 6.163 4.363
O 5.226 4.415 2.643
Ca 0.000 0.000 0.000
O 4.952 1.368 5.234
O 5.172 4.988 6.412
```

(25)
DFT (GGA-PBE) results for a relaxed TiCd3Bi crystal.

Results
Energy of formation in meV/atom: 709
Magnetization in μB per formula unit: 1.28
Polymorph energy (0 for the lowest one) in eV/atom: 0.000
Fermi-level density of states in states/eV per cell: 4.0

Geometry as extended XYZ:
```
5
Lattice="5.330 0.000 0.000 0.000 5.330 0.000 0.000 0.000 5.330" Properties=species:S:1:pos:R:3 pbc="T T T"
Bi 2.665 2.665 2.665
Cd 0.000 2.665 0.000
Ti 0.000 0.000 0.000
Cd 2.665 0.000 0.000
Cd 0.000 0.000 2.665
```

(26)
DFT (GGA-PBE) results for a relaxed LiFeNi2 crystal.

Results
Energy of formation in meV/atom: 56
Magnetization in μB per formula unit: 3.84
Fermi-level density of states in states/eV per cell: 4.1

Geometry as extended XYZ:
```
4
Lattice="-1.470 -1.684 3.636 0.858 -0.927 4.077 -1.582 3.808 1.820" Properties=species:S:1:pos:R:3 pbc="T T T"
Ni -1.098 0.617 4.737
Ni -1.581 3.789 1.850
Li -0.549 0.299 2.383
Fe -1.646 0.898 7.150
```